The following is a DFT calculation (PBE) of a geometry-optimized Cs5CdHg4 structure.

## Properties
space group = C2/m
energy of formation = -177 meV/atom
density of states at the Fermi level = 5.939 states/eV/f.u.
final energy = -0.816 eV/atom

Cell lengths 5.176, 9.708, 12.410 Å; angles 113.43, 102.04, 90.00 degrees
Positions (direct):
1 Cs 0.132 0.008 0.264
2 Cs 0.197 0.609 0.394
3 Cs 0.803 0.391 0.606
4 Cs 0.500 0.500 0.000
5 Cs 0.868 0.992 0.736
6 Cd 0.500 0.000 0.000
7 Hg 0.623 0.300 0.245
8 Hg 0.961 0.772 0.922
9 Hg 0.377 0.700 0.755
10 Hg 0.039 0.228 0.078